DFT (GGA-PBE) results for crystalline NaGe2Pd4 at its relaxed geometry.

## Properties
Symmetry ... P4_2/mnm (136)
Energy relative to the elements ... -0.454 eV per atom

```
NaGe2Pd4
1.0
7.8902 0.0000 0.0000
0.0000 7.8902 0.0000
0.0000 0.0000 3.9095
Na Ge Pd
2 4 8
direct
0.0000 0.0000 0.0000
0.5000 0.5000 0.5000
0.2304 0.2304 0.5000
0.2696 0.7304 0.0000
0.7304 0.2696 0.0000
0.7696 0.7696 0.5000
0.0758 0.6703 0.5000
0.1703 0.4242 0.0000
0.3297 0.9242 0.5000
0.4242 0.1703 0.0000
0.5758 0.8297 0.0000
0.6703 0.0758 0.5000
0.8297 0.5758 0.0000
0.9242 0.3297 0.5000
```